1:
The following is a DFT calculation (PBE) of an optimized crystal structure of SmFe10Si2.

Lattice parameters (Å, degrees): 6.373 6.373 8.208 90.00 90.00 97.96
Positions (direct):
Sm  0.123  0.877  0.750
Sm  0.877  0.123  0.250
Fe  0.130  0.387  0.750
Fe  0.162  0.838  0.102
Fe  0.162  0.838  0.398
Fe  0.232  0.232  0.000
Fe  0.232  0.232  0.500
Fe  0.241  0.480  0.250
Fe  0.387  0.130  0.250
Fe  0.394  0.606  0.575
Fe  0.394  0.606  0.925
Fe  0.480  0.241  0.750
Fe  0.520  0.759  0.250
Fe  0.606  0.394  0.075
Fe  0.606  0.394  0.425
Fe  0.613  0.870  0.750
Fe  0.759  0.520  0.750
Fe  0.768  0.768  0.000
Fe  0.768  0.768  0.500
Fe  0.838  0.162  0.602
Fe  0.838  0.162  0.898
Fe  0.870  0.613  0.250
Si  0.000  0.500  0.000
Si  0.000  0.500  0.500
Si  0.500  0.000  0.000
Si  0.500  0.000  0.500

## Properties
Symmetry = No. 63
Total magnetic moment = 19.9 μB/f.u.

=====

2:
The following is a DFT calculation (PBE) of an optimized crystal structure of SmFe10Si2.

Lattice parameters (Å, degrees): 8.318 6.388 6.321 81.76 49.47 48.77
Positions (direct):
Sm  0.000  0.000  0.000
Fe  0.000  0.500  0.000
Fe  0.005  0.640  0.360
Fe  0.274  0.501  0.499
Fe  0.360  0.995  0.005
Fe  0.499  0.726  0.274
Fe  0.500  0.000  0.500
Fe  0.501  0.274  0.726
Fe  0.640  0.005  0.995
Fe  0.726  0.499  0.501
Fe  0.995  0.360  0.640
Si  0.000  0.000  0.500
Si  0.500  0.500  0.000

## Properties
Symmetry = No. 69
Total magnetic moment = 20.4 μB/f.u.

=====

Stability order, top to bottom: 1, 2

=====

1:
The following is a DFT calculation (PBE) of an optimized crystal structure of SrFe3Si.

Lattice parameters (Å, degrees): 4.518 4.518 4.518 90.00 90.00 90.00
Positions (direct):
Sr  0.000  0.000  0.000
Fe  0.000  0.500  0.500
Fe  0.500  0.000  0.500
Fe  0.500  0.500  0.000
Si  0.500  0.500  0.500

## Properties
Symmetry = No. 221
Total magnetic moment = 6.8 μB/f.u.

=====

2:
The following is a DFT calculation (PBE) of an optimized crystal structure of SrFe3Si.

Lattice parameters (Å, degrees): 4.734 4.734 4.734 90.00 90.00 90.00
Positions (direct):
Sr  0.000  0.000  0.000
Fe  0.000  0.000  0.500
Fe  0.000  0.500  0.000
Fe  0.500  0.000  0.000
Si  0.500  0.500  0.500

## Properties
Symmetry = No. 221
Total magnetic moment = 7.5 μB/f.u.

=====

Stability order, top to bottom: 1, 2